Material: CeMg2SnPd4
Method: DFT, PBE
State: optimized geometry

abc: 8.0929 8.0929 8.0929
angles: 34.21 34.21 34.21
With the nearest neighbours (Å) after each atom.
Fractional coordinates of all 8 atoms:
Ce: 0.0000 0.0000 0.0000  8 Pd 2.89-2.96
Mg: 0.2477 0.2477 0.2477  8 Pd 2.77-3.05
Mg: 0.7523 0.7523 0.7523  8 Pd 2.77-3.05
Sn: 0.5000 0.5000 0.5000  8 Pd 2.71-2.90
Pd: 0.1266 0.1266 0.1266  4 Mg 2.77-2.90, 1 Ce 2.89, 3 Sn 2.90
Pd: 0.3814 0.3814 0.3814  1 Sn 2.71, 3 Mg 2.88, 3 Ce 2.96
Pd: 0.6186 0.6186 0.6186  1 Sn 2.71, 3 Mg 2.88, 3 Ce 2.96
Pd: 0.8734 0.8734 0.8734  4 Mg 2.77-2.90, 1 Ce 2.89, 3 Sn 2.90

Values from the calculation:
Calculated volume ... 149.4 Å³ per cell
Energy of formation from the pure elements ... -0.634 eV per atom
Total moment ... 0.6 μB/cell